Entry 1:
Crystalline Pm2ThSn at its relaxed geometry, computed with PBE.

Results
Space group: No. 166
Offset from the most stable computed form (meV/atom): 381

Structure (POSCAR):
```
Pm2ThSn
1.0
1.727 0.997 12.197
-1.727 0.997 12.197
0.000 -1.994 12.197
Pm Th Sn
2 1 1
direct
0.094 0.094 0.094
0.906 0.906 0.906
0.000 0.000 0.000
0.500 0.500 0.500
```

=====

Entry 2:
Crystalline Ta2Bi4O11 at its relaxed geometry, computed with PBE.

Results
Space group: No. 2
ΔE_f (raw) (eV/atom): -1.958

Structure (POSCAR):
```
Ta2Bi4O11
1.0
6.659 0.000 0.000
0.011 7.733 0.000
0.090 1.934 9.873
Ta Bi O
4 8 22
direct
0.084 0.297 0.313
0.088 0.797 0.309
0.912 0.203 0.691
0.916 0.703 0.687
0.239 0.628 0.978
0.247 0.129 0.978
0.388 0.455 0.671
0.440 0.952 0.684
0.560 0.048 0.316
0.612 0.545 0.329
0.753 0.871 0.022
0.761 0.372 0.022
0.003 0.223 0.500
0.018 0.548 0.309
0.093 0.360 0.099
0.110 0.835 0.104
0.157 0.052 0.291
0.217 0.150 0.736
0.219 0.730 0.737
0.367 0.339 0.334
0.367 0.742 0.347
0.411 0.395 0.886
0.458 0.906 0.898
0.542 0.094 0.102
0.589 0.605 0.114
0.633 0.258 0.653
0.633 0.661 0.666
0.781 0.270 0.263
0.783 0.850 0.264
0.843 0.948 0.709
0.890 0.165 0.896
0.907 0.640 0.901
0.982 0.452 0.691
0.997 0.777 0.500
```

=====

Entry 3:
Crystalline ScVRh2 at its relaxed geometry, computed with PBE.

Results
Space group: No. 123

Structure (POSCAR):
```
ScVRh2
1.0
4.227 0.000 0.000
0.000 4.227 0.000
0.000 0.000 3.459
Sc V Rh
1 1 2
direct
0.000 0.000 0.000
0.500 0.500 0.000
0.000 0.500 0.500
0.500 0.000 0.500
```

=====

| no. | total magnetization (μB per atom) | E_tot (eV per atom) |
| --- | --- | --- |
| 1 | 0.0000 | -5.24 |
| 2 | 0.0000 | -7.47 |
| 3 | 0.4019 | -8.07 |